No. 1
DyErSiNi | PBE | optimized geometry

Unit cell a=4.8599 b=4.8599 c=4.8599 alpha=60.00 beta=60.00 gamma=60.00
With the nearest neighbours (Å) after each atom.
Fractional coordinates of all 4 atoms:
1 Dy 0.0000 0.0000 0.0000  4 Ni 2.98, 4 Si 2.98
2 Er 0.5000 0.5000 0.5000  4 Si 2.98, 4 Ni 2.98
3 Si 0.2500 0.2500 0.2500  4 Er 2.98, 4 Dy 2.98
4 Ni 0.7500 0.7500 0.7500  4 Er 2.98, 4 Dy 2.98

Calculated values
Crystal system: cubic
Distance to the lowest polymorph of the same formula, meV per atom: 161
E_form (uncorrected), eV per atom: -0.487

---

No. 2
DyErSiNi | PBE | optimized geometry

Unit cell a=4.0360 b=5.6228 c=5.6228 alpha=41.11 beta=90.00 gamma=90.00
With the nearest neighbours (Å) after each atom.
Fractional coordinates of all 4 atoms:
1 Dy 0.0000 0.0000 0.0000  4 Ni 2.93, 3 Si 2.97-3.05
2 Er 0.5000 0.7191 0.7191  4 Si 2.92, 3 Ni 2.93-3.10
3 Si 0.0000 0.2895 0.2895  2 Ni 2.47
4 Ni 0.5000 0.4250 0.4250  2 Si 2.47

Calculated values
Crystal system: orthorhombic
Distance to the lowest polymorph of the same formula, meV per atom: 0
E_form (uncorrected), eV per atom: -0.648

---

No. 3
DyErTcNi | PBE | optimized geometry

Unit cell a=4.7838 b=4.7838 c=4.7838 alpha=60.00 beta=60.00 gamma=60.00
With the nearest neighbours (Å) after each atom.
Fractional coordinates of all 4 atoms:
1 Dy 0.0000 0.0000 0.0000  4 Ni 2.93, 4 Tc 2.93
2 Er 0.5000 0.5000 0.5000  4 Tc 2.93, 4 Ni 2.93
3 Tc 0.2500 0.2500 0.2500  4 Er 2.93, 4 Dy 2.93
4 Ni 0.7500 0.7500 0.7500  4 Er 2.93, 4 Dy 2.93

Calculated values
Energy of formation from the pure elements, meV per atom: -142
Crystal system: cubic

---

No. 4
Dy2ErNpO8 | PBE | optimized geometry

Unit cell a=3.8386 b=7.4096 c=5.3700 alpha=90.00 beta=93.29 gamma=90.00
With the nearest neighbours (Å) after each atom.
Fractional coordinates of all 12 atoms:
1 Dy 0.0000 0.2401 0.0000  8 O 2.23-2.42
2 Dy 0.0000 0.7599 0.0000  8 O 2.23-2.42
3 Er 0.5000 0.0000 0.5000  8 O 2.27-2.41
4 Np 0.5000 0.5000 0.5000  6 O 2.10
5 O 0.0019 0.0000 0.2502  2 Dy 2.23, 2 Er 2.27-2.41
6 O 0.0357 0.5000 0.2735  1 Np 2.10
7 O 0.4773 0.2750 0.7365  1 Np 2.10
8 O 0.4773 0.7250 0.7365  1 Np 2.10
9 O 0.5227 0.2750 0.2635  1 Np 2.10
10 O 0.5227 0.7250 0.2635  1 Np 2.10
11 O 0.9643 0.5000 0.7265  1 Np 2.10
12 O 0.9981 0.0000 0.7498  2 Dy 2.23, 2 Er 2.27-2.41

Calculated values
Crystal system: monoclinic
E_form (uncorrected), eV per atom: -3.210

---

No. 5
DyErNpO6 | PBE | optimized geometry

Unit cell a=5.6991 b=5.6991 c=9.4348 alpha=90.00 beta=90.00 gamma=120.00
With the nearest neighbours (Å) after each atom.
Fractional coordinates of all 18 atoms:
1 Dy 0.0000 0.0000 0.0000  6 O 2.34
2 Dy 0.0000 0.0000 0.5000  6 O 2.34
3 Er 0.3333 0.6667 0.2500  6 O 2.25
4 Er 0.6667 0.3333 0.7500  6 O 2.25
5 Np 0.3333 0.6667 0.7500  6 O 2.08
6 Np 0.6667 0.3333 0.2500  6 O 2.08
7 O 0.0228 0.3559 0.6339  1 Np 2.08, 1 Er 2.25
8 O 0.0228 0.6669 0.8661  1 Np 2.08, 1 Er 2.25
9 O 0.3331 0.3559 0.8661  1 Np 2.08, 1 Er 2.25
10 O 0.3331 0.9772 0.6339  1 Np 2.08, 1 Er 2.25
11 O 0.3559 0.0228 0.1339  1 Np 2.08, 1 Er 2.25
12 O 0.3559 0.3331 0.3661  1 Np 2.08, 1 Er 2.25
13 O 0.6441 0.6669 0.6339  1 Np 2.08, 1 Er 2.25
14 O 0.6441 0.9772 0.8661  1 Np 2.08, 1 Er 2.25
15 O 0.6669 0.0228 0.3661  1 Np 2.08, 1 Er 2.25
16 O 0.6669 0.6441 0.1339  1 Np 2.08, 1 Er 2.25
17 O 0.9772 0.3331 0.1339  1 Np 2.08, 1 Er 2.25
18 O 0.9772 0.6441 0.3661  1 Np 2.08, 1 Er 2.25

Calculated values
Crystal system: trigonal
E_form (uncorrected), eV per atom: -3.222

---

No. 6
DyErNp2S4 | PBE | optimized geometry

Unit cell a=6.7198 b=3.9021 c=6.7819 alpha=90.00 beta=109.64 gamma=90.00
With the nearest neighbours (Å) after each atom.
Fractional coordinates of all 8 atoms:
1 Dy 0.0000 0.0000 0.0000  6 S 2.75
2 Er 0.0000 0.5000 0.5000  6 S 2.73-2.74
3 Np 0.5000 0.0000 0.5000  6 S 2.76-2.77
4 Np 0.5000 0.5000 0.0000  6 S 2.77-2.78
5 S 0.2461 0.0000 0.7482  2 Er 2.74, 1 Dy 2.75, 3 Np 2.77
6 S 0.2475 0.5000 0.2520  1 Er 2.73, 2 Dy 2.75, 3 Np 2.76-2.78
7 S 0.7525 0.5000 0.7480  1 Er 2.73, 2 Dy 2.75, 3 Np 2.76-2.78
8 S 0.7539 0.0000 0.2518  2 Er 2.74, 1 Dy 2.75, 3 Np 2.77

Calculated values
Crystal system: monoclinic
E_form (uncorrected), eV per atom: -1.666

---

No. 7
DyErNp2Se4 | PBE | optimized geometry

Unit cell a=7.0259 b=4.0780 c=7.1089 alpha=90.00 beta=109.56 gamma=90.00
With the nearest neighbours (Å) after each atom.
Fractional coordinates of all 8 atoms:
1 Dy 0.0000 0.0000 0.0000  6 Se 2.87
2 Er 0.0000 0.5000 0.5000  6 Se 2.86
3 Np 0.5000 0.0000 0.5000  6 Se 2.89-2.91
4 Np 0.5000 0.5000 0.0000  6 Se 2.91-2.92
5 Se 0.2442 0.0000 0.7474  2 Er 2.86, 1 Dy 2.87, 3 Np 2.91
6 Se 0.2455 0.5000 0.2508  1 Er 2.86, 2 Dy 2.87, 3 Np 2.89-2.92
7 Se 0.7545 0.5000 0.7492  1 Er 2.86, 2 Dy 2.87, 3 Np 2.89-2.92
8 Se 0.7558 0.0000 0.2526  2 Er 2.86, 1 Dy 2.87, 3 Np 2.91

Calculated values
Crystal system: monoclinic
E_form (uncorrected), eV per atom: -1.393

---

No. 8
DyEr3O6 | PBE | optimized geometry

Unit cell a=6.6779 b=6.6779 c=6.6779 alpha=91.45 beta=91.45 gamma=91.45
With the nearest neighbours (Å) after each atom.
Fractional coordinates of all 20 atoms:
1 Dy 0.0000 0.0000 0.0000  6 O 2.24
2 Dy 0.5000 0.5000 0.5000  6 O 2.28
3 Er 0.0555 0.5636 0.7514  6 O 2.20-2.36
4 Er 0.2486 0.9445 0.4364  6 O 2.20-2.36
5 Er 0.4364 0.2486 0.9445  6 O 2.20-2.36
6 Er 0.5636 0.7514 0.0555  6 O 2.20-2.36
7 Er 0.7514 0.0555 0.5636  6 O 2.20-2.36
8 Er 0.9445 0.4364 0.2486  6 O 2.20-2.36
9 O 0.0287 0.8967 0.6803  1 Dy 2.24, 3 Er 2.24-2.30
10 O 0.1033 0.3197 0.9713  1 Dy 2.24, 3 Er 2.24-2.30
11 O 0.1825 0.5967 0.4277  3 Er 2.20-2.36, 1 Dy 2.28
12 O 0.3197 0.9713 0.1033  1 Dy 2.24, 3 Er 2.24-2.30
13 O 0.4033 0.5723 0.8175  3 Er 2.20-2.36, 1 Dy 2.28
14 O 0.4277 0.1825 0.5967  3 Er 2.20-2.36, 1 Dy 2.28
15 O 0.5723 0.8175 0.4033  3 Er 2.20-2.36, 1 Dy 2.28
16 O 0.5967 0.4277 0.1825  3 Er 2.20-2.36, 1 Dy 2.28
17 O 0.6803 0.0287 0.8967  1 Dy 2.24, 3 Er 2.24-2.30
18 O 0.8175 0.4033 0.5723  3 Er 2.20-2.36, 1 Dy 2.28
19 O 0.8967 0.6803 0.0287  1 Dy 2.24, 3 Er 2.24-2.30
20 O 0.9713 0.1033 0.3197  1 Dy 2.24, 3 Er 2.24-2.30

Calculated values
Crystal system: trigonal
E_form (uncorrected), eV per atom: -3.591

---

No. 9
Dy2ErO | PBE | optimized geometry

Unit cell a=8.8651 b=8.8651 c=8.8651 alpha=22.90 beta=22.90 gamma=22.90
With the nearest neighbours (Å) after each atom.
Fractional coordinates of all 4 atoms:
1 Dy 0.2194 0.2194 0.2194  3 O 2.45
2 Dy 0.7806 0.7806 0.7806  3 O 2.45
3 Er 0.0000 0.0000 0.0000  6 Er 3.52, 6 Dy 3.58
4 O 0.5000 0.5000 0.5000  6 Dy 2.45

Calculated values
Crystal system: trigonal
Distance to the lowest polymorph of the same formula, meV per atom: 0
E_form (uncorrected), eV per atom: -1.343

---

No. 10
Dy2ErO | PBE | optimized geometry

Unit cell a=3.1874 b=3.1874 c=8.6361 alpha=90.00 beta=90.00 gamma=90.00
With the nearest neighbours (Å) after each atom.
Fractional coordinates of all 4 atoms:
1 Dy 0.0000 0.0000 0.1767  4 O 2.72
2 Dy 0.0000 0.0000 0.8233  4 O 2.72
3 Er 0.5000 0.5000 0.5000  4 Er 3.19
4 O 0.5000 0.5000 0.0000  8 Dy 2.72

Calculated values
Crystal system: tetragonal
Distance to the lowest polymorph of the same formula, meV per atom: 512
E_form (uncorrected), eV per atom: -0.831

---

No. 11
DyErO4 | PBE | optimized geometry

Unit cell a=3.8755 b=3.8755 c=6.1812 alpha=95.35 beta=95.35 gamma=57.28
With the nearest neighbours (Å) after each atom.
Fractional coordinates of all 6 atoms:
1 Dy 0.0000 0.0000 0.0000  7 O 2.25-2.42
2 Er 0.3653 0.3653 0.4568  7 O 2.24-2.40
3 O 0.0357 0.0357 0.3759  3 Er 2.24-2.27, 1 Dy 2.31
4 O 0.3302 0.3302 0.0855  3 Dy 2.25-2.28, 1 Er 2.28
5 O 0.5895 0.5895 0.7793  1 O 1.49
6 O 0.7763 0.7763 0.6722  1 O 1.49

Calculated values
Crystal system: monoclinic
E_form (uncorrected), eV per atom: -3.000

---

No. 12
DyEr3O | PBE | optimized geometry

Unit cell a=4.8925 b=4.8925 c=4.8925 alpha=90.00 beta=90.00 gamma=90.00
With the nearest neighbours (Å) after each atom.
Fractional coordinates of all 5 atoms:
1 Dy 0.0000 0.0000 0.0000  12 Er 3.46
2 Er 0.0000 0.5000 0.5000  2 O 2.45
3 Er 0.5000 0.0000 0.5000  2 O 2.45
4 Er 0.5000 0.5000 0.0000  2 O 2.45
5 O 0.5000 0.5000 0.5000  6 Er 2.45

Calculated values
Crystal system: cubic
E_form (uncorrected), eV per atom: -1.093

---

| no. | raw total energy (eV per atom) |
| --- | --- |
| 1 | -5.579 |
| 2 | -5.740 |
| 3 | -6.470 |
| 4 | -8.741 |
| 5 | -8.984 |
| 6 | -8.111 |
| 7 | -7.516 |
| 8 | -8.395 |
| 9 | -6.024 |
| 10 | -5.512 |
| 11 | -7.833 |
| 12 | -5.743 |